[1]
Density functional theory data (PBEsol) for a geometry-optimized Mg2AlCo structure.

Output
Volume (Å³/atom): 16.20
Density of states at the Fermi level (states/eV/f.u.): 1.77
Total energy (eV/atom): -3.9361
ΔE_f (meV per atom): -120

The structure in CIF format:
```
data_Mg2AlCo
_space_group_name_H-M_alt 'P 4 m m'
_space_group_IT_number 99
_cell_length_a 3.0026
_cell_length_b 3.0026
_cell_length_c 7.1887
_cell_angle_alpha 90.00
_cell_angle_beta 90.00
_cell_angle_gamma 90.00
loop_
_space_group_symop_operation_xyz
'x,y,z'
'-y,x,z'
'-x,-y,z'
'y,-x,z'
'-x,y,z'
'y,x,z'
'x,-y,z'
'-y,-x,z'
loop_
_atom_site_label
_atom_site_fract_x
_atom_site_fract_y
_atom_site_fract_z
Mg1 0.0000 0.0000 0.0000
Mg2 0.5000 0.5000 0.3300
Al1 0.0000 0.0000 0.6151
Co1 0.5000 0.5000 0.7695
```

---

[2]
Density functional theory data (PBEsol) for a geometry-optimized MgAl2CoNi structure.

Output
Volume (Å³/atom): 17.21
Density of states at the Fermi level (states/eV/f.u.): 7.03
Total energy (eV/atom): -4.3306
ΔE_f (meV per atom): 428

The structure in CIF format:
```
data_MgAl2CoNi
_space_group_name_H-M_alt 'P 4/m m m'
_space_group_IT_number 123
_space_group_name_Hall '-P 4 2'
_cell_length_a 4.3502
_cell_length_b 4.3502
_cell_length_c 4.5463
_cell_angle_alpha 90.00
_cell_angle_beta 90.00
_cell_angle_gamma 90.00
loop_
_atom_site_label
_atom_site_fract_x
_atom_site_fract_y
_atom_site_fract_z
Mg1 0.0000 0.0000 0.0000
Al1 0.0000 0.5000 0.5000
Co1 0.5000 0.5000 0.0000
Ni1 0.0000 0.0000 0.5000
```

---

[3]
Density functional theory data (PBEsol) for a geometry-optimized Mg14AlCoO16 structure.

Output
Volume (Å³/atom): 9.32
Density of states at the Fermi level (states/eV/f.u.): 1.19
Total energy (eV/atom): -6.3361
Polymorph energy (0 for the lowest one) (meV per atom): 0
E_form (uncorrected) (eV/atom): -2.59

The structure in CIF format:
```
data_Mg14AlCoO16
_space_group_name_H-M_alt 'P m m m'
_space_group_IT_number 47
_cell_length_a 4.1968
_cell_length_b 8.4120
_cell_length_c 8.4483
_cell_angle_alpha 90.00
_cell_angle_beta 90.00
_cell_angle_gamma 90.00
loop_
_space_group_symop_operation_xyz
'x,y,z'
'-x,-y,-z'
'-x,-y,z'
'x,y,-z'
'x,-y,-z'
'-x,y,z'
'-x,y,-z'
'x,-y,z'
loop_
_atom_site_label
_atom_site_fract_x
_atom_site_fract_y
_atom_site_fract_z
Mg1 0.0000 0.0000 0.0000
Mg2 0.0000 0.0000 0.5000
Mg3 0.0000 0.2528 0.2446
Mg4 0.5000 0.0000 0.2479
Mg5 0.5000 0.2504 0.5000
Mg6 0.5000 0.2542 0.0000
Mg7 0.5000 0.5000 0.2432
Al1 0.0000 0.5000 0.5000
Co1 0.0000 0.5000 0.0000
O1 0.0000 0.0000 0.2554
O2 0.0000 0.2408 0.0000
O3 0.0000 0.2647 0.5000
O4 0.0000 0.5000 0.2803
O5 0.5000 0.0000 0.0000
O6 0.5000 0.0000 0.5000
O7 0.5000 0.2511 0.2511
O8 0.5000 0.5000 0.0000
O9 0.5000 0.5000 0.5000
```

---

[4]
Density functional theory data (PBEsol) for a geometry-optimized Mg30AlCoO32 structure.

Output
Volume (Å³/atom): 9.34
Density of states at the Fermi level (states/eV/f.u.): 4.46
Total energy (eV/atom): -6.2817
E_form (uncorrected) (eV/atom): -2.67

The structure in CIF format:
```
data_Mg30AlCoO32
_space_group_name_H-M_alt 'P 4/m m m'
_space_group_IT_number 123
_space_group_name_Hall '-P 4 2'
_cell_length_a 8.4270
_cell_length_b 8.4270
_cell_length_c 8.4202
_cell_angle_alpha 90.00
_cell_angle_beta 90.00
_cell_angle_gamma 90.00
loop_
_atom_site_label
_atom_site_fract_x
_atom_site_fract_y
_atom_site_fract_z
Mg1 0.0000 0.0000 0.0000
Mg2 0.0000 0.2464 0.2527
Mg3 0.0000 0.5000 0.0000
Mg4 0.0000 0.5000 0.5000
Mg5 0.2457 0.2457 0.5000
Mg6 0.2484 0.5000 0.2500
Mg7 0.2487 0.2487 0.0000
Mg8 0.5000 0.5000 0.0000
Al1 0.5000 0.5000 0.5000
Co1 0.0000 0.0000 0.5000
O1 0.0000 0.0000 0.2403
O2 0.0000 0.2523 0.0000
O3 0.0000 0.2634 0.5000
O4 0.0000 0.5000 0.2507
O5 0.2506 0.2506 0.2505
O6 0.2531 0.5000 0.0000
O7 0.2669 0.5000 0.5000
O8 0.5000 0.5000 0.2639
```

---

[5]
Density functional theory data (PBEsol) for a geometry-optimized Mg14AlCoO16 structure.

Output
Volume (Å³/atom): 9.33
Density of states at the Fermi level (states/eV/f.u.): 2.08
Total energy (eV/atom): -6.3257
Polymorph energy (0 for the lowest one) (meV per atom): 10
E_form (uncorrected) (eV/atom): -2.58

The structure in CIF format:
```
data_Mg14AlCoO16
_space_group_name_H-M_alt 'P 4/m m m'
_space_group_IT_number 123
_space_group_name_Hall '-P 4 2'
_cell_length_a 8.4346
_cell_length_b 8.4346
_cell_length_c 4.1981
_cell_angle_alpha 90.00
_cell_angle_beta 90.00
_cell_angle_gamma 90.00
loop_
_atom_site_label
_atom_site_fract_x
_atom_site_fract_y
_atom_site_fract_z
Mg1 0.0000 0.2438 0.0000
Mg2 0.0000 0.5000 0.5000
Mg3 0.2443 0.2443 0.5000
Mg4 0.2479 0.5000 0.0000
Al1 0.5000 0.5000 0.5000
Co1 0.0000 0.0000 0.5000
O1 0.0000 0.0000 0.0000
O2 0.0000 0.2655 0.5000
O3 0.0000 0.5000 0.0000
O4 0.2511 0.2511 0.0000
O5 0.2708 0.5000 0.5000
O6 0.5000 0.5000 0.0000
```

---

[6]
Density functional theory data (PBEsol) for a geometry-optimized MnAlCo2 structure.

Output
Volume (Å³/atom): 12.67
Density of states at the Fermi level (states/eV/f.u.): 6.35
Total energy (eV/atom): -6.9162
ΔE_f (meV per atom): 415

The structure in CIF format:
```
data_MnAlCo2
_space_group_name_H-M_alt 'I -4 2 d'
_space_group_IT_number 122
_space_group_name_Hall 'I -4 2bw'
_cell_length_a 3.4681
_cell_length_b 3.4681
_cell_length_c 16.8608
_cell_angle_alpha 90.00
_cell_angle_beta 90.00
_cell_angle_gamma 90.00
loop_
_atom_site_label
_atom_site_fract_x
_atom_site_fract_y
_atom_site_fract_z
Mn1 0.0000 0.0000 0.0000
Al1 0.0000 0.0000 0.5000
Co1 0.2375 0.2500 0.6250
```

---

[7]
Density functional theory data (PBEsol) for a geometry-optimized MnAlCo2 structure.

Output
Volume (Å³/atom): 11.10
Density of states at the Fermi level (states/eV/f.u.): 2.25
Total energy (eV/atom): -7.6586
ΔE_f (meV per atom): -327

The structure in CIF format:
```
data_MnAlCo2
_space_group_name_H-M_alt 'F m -3 m'
_space_group_IT_number 225
_space_group_name_Hall '-F 4 2 3'
_cell_length_a 5.6207
_cell_length_b 5.6207
_cell_length_c 5.6207
_cell_angle_alpha 90.00
_cell_angle_beta 90.00
_cell_angle_gamma 90.00
loop_
_atom_site_label
_atom_site_fract_x
_atom_site_fract_y
_atom_site_fract_z
Mn1 0.0000 0.0000 0.0000
Al1 0.0000 0.0000 0.5000
Co1 0.2500 0.2500 0.2500
```

---

[8]
Density functional theory data (PBEsol) for a geometry-optimized MnAlCo2 structure.

Output
Volume (Å³/atom): 11.32
Density of states at the Fermi level (states/eV/f.u.): 2.95
Total energy (eV/atom): -7.5206
ΔE_f (meV per atom): -189

The structure in CIF format:
```
data_MnAlCo2
_space_group_name_H-M_alt 'I m m 2'
_space_group_IT_number 44
_cell_length_a 2.8757
_cell_length_b 3.9275
_cell_length_c 8.0168
_cell_angle_alpha 90.00
_cell_angle_beta 90.00
_cell_angle_gamma 90.00
loop_
_space_group_symop_operation_xyz
'x,y,z'
'-x,-y,z'
'-x,y,z'
'x,-y,z'
'x+1/2,y+1/2,z+1/2'
'-x+1/2,-y+1/2,z+1/2'
'-x+1/2,y+1/2,z+1/2'
'x+1/2,-y+1/2,z+1/2'
loop_
_atom_site_label
_atom_site_fract_x
_atom_site_fract_y
_atom_site_fract_z
Mn1 0.0000 0.0000 0.0000
Al1 0.0000 0.5000 0.7614
Co1 0.0000 0.0000 0.5117
Co2 0.0000 0.5000 0.2565
```

---

[9]
Density functional theory data (PBEsol) for a geometry-optimized AlCoMo2 structure.

Output
Volume (Å³/atom): 13.64
Density of states at the Fermi level (states/eV/f.u.): 2.64
Total energy (eV/atom): -8.8884
ΔE_f (meV per atom): -47

The structure in CIF format:
```
data_AlCoMo2
_space_group_name_H-M_alt 'P 4/m m m'
_space_group_IT_number 123
_space_group_name_Hall '-P 4 2'
_cell_length_a 2.7052
_cell_length_b 2.7052
_cell_length_c 7.4552
_cell_angle_alpha 90.00
_cell_angle_beta 90.00
_cell_angle_gamma 90.00
loop_
_atom_site_label
_atom_site_fract_x
_atom_site_fract_y
_atom_site_fract_z
Al1 0.0000 0.0000 0.0000
Co1 0.0000 0.0000 0.5000
Mo1 0.5000 0.5000 0.2667
```

---

[10]
Density functional theory data (PBEsol) for a geometry-optimized AlCoMo3 structure.

Output
Volume (Å³/atom): 17.41
Density of states at the Fermi level (states/eV/f.u.): 7.71
Total energy (eV/atom): -7.4812
ΔE_f (meV per atom): 1945

The structure in CIF format:
```
data_AlCoMo3
_space_group_name_H-M_alt 'P m -3 m'
_space_group_IT_number 221
_space_group_name_Hall '-P 4 2 3'
_cell_length_a 4.4320
_cell_length_b 4.4320
_cell_length_c 4.4320
_cell_angle_alpha 90.00
_cell_angle_beta 90.00
_cell_angle_gamma 90.00
loop_
_atom_site_label
_atom_site_fract_x
_atom_site_fract_y
_atom_site_fract_z
Al1 0.0000 0.0000 0.0000
Co1 0.5000 0.5000 0.5000
Mo1 0.0000 0.0000 0.5000
```